No. 1
This record from Alexandria via LeMat-Bulk describes a relaxed LiTm2Rh crystal. The functional is GGA-PBEsol.

- SG = Fm-3m
- formation energy from the elements (meV per atom) = -513.1
- final energy (eV per cell) = -21.955

abc: 4.792 4.792 4.792
angles: 60.00 60.00 60.00
Element x y z (fractional)
Li1 0.500 0.500 0.500
Rh1 0.000 0.000 0.000
Tm1 0.250 0.250 0.250
Tm2 0.750 0.750 0.750

=====

No. 2
This record from Alexandria via LeMat-Bulk describes a relaxed LiRh2W crystal. The functional is GGA-PBEsol.

- SG = C2/m
- formation energy from the elements (meV per atom) = 37.8
- final energy (eV per cell) = -31.900

abc: 2.686 4.373 4.895
angles: 95.11 90.00 107.89
Element x y z (fractional)
W1 0.000 0.000 0.500
Li1 0.500 0.000 0.000
Rh1 0.750 0.500 0.759
Rh2 0.250 0.500 0.241

=====

No. 3
This record from Alexandria via LeMat-Bulk describes a relaxed LiRh2W crystal. The functional is GGA-PBEsol.

- SG = P4/mmm
- formation energy from the elements (meV per atom) = -163.5
- final energy (eV per cell) = -32.705

abc: 2.878 2.878 6.338
angles: 90.00 90.00 90.00
Element x y z (fractional)
Rh1 0.000 0.000 0.269
Rh2 0.000 0.000 0.731
Li1 0.500 0.500 0.500
W1 0.500 0.500 0.000

=====

No. 4
This record from Alexandria via LeMat-Bulk describes a relaxed LiRh2W crystal. The functional is GGA-PBEsol.

- SG = R-3m
- formation energy from the elements (meV per atom) = -70.4
- final energy (eV per cell) = -32.333

abc: 2.745 2.745 8.812
angles: 81.04 81.04 60.00
Element x y z (fractional)
Rh1 0.249 0.249 0.253
W1 0.500 0.500 0.500
Rh2 0.751 0.751 0.747
Li1 0.000 0.000 0.000

=====

No. 5
This record from Alexandria via LeMat-Bulk describes a relaxed LiRh2W crystal. The functional is GGA-PBEsol.

- SG = P4mm
- formation energy from the elements (meV per atom) = 161.1
- final energy (eV per cell) = -31.407

abc: 3.157 3.157 5.433
angles: 90.00 90.00 90.00
Element x y z (fractional)
Rh1 0.000 0.000 0.948
Rh2 0.500 0.500 0.270
W1 0.000 0.000 0.505
Li1 0.500 0.500 0.776

=====

No. 6
This record from Alexandria via LeMat-Bulk describes a relaxed Li2RhW crystal. The functional is GGA-PBEsol.

- distance to the lowest polymorph of the same formula (meV per atom) = 0
- SG = Pmmm
- formation energy from the elements (meV per atom) = 208.8
- final energy (eV per cell) = -25.044

abc: 2.749 4.382 4.705
angles: 90.00 90.00 90.00
Element x y z (fractional)
W1 0.000 0.500 0.500
Li1 0.000 0.000 0.000
Li2 0.500 0.500 0.000
Rh1 0.500 0.000 0.500

=====

No. 7
This record from Alexandria via LeMat-Bulk describes a relaxed LiRh2W crystal. The functional is GGA-PBEsol.

- SG = Pmmm
- formation energy from the elements (meV per atom) = -137.2
- final energy (eV per cell) = -32.600

abc: 2.783 3.430 5.643
angles: 90.00 90.00 90.00
Element x y z (fractional)
Rh1 0.000 0.000 0.741
Li1 0.500 0.500 0.500
Rh2 0.000 0.000 0.259
W1 0.500 0.500 0.000

=====

No. 8
This record from Alexandria via LeMat-Bulk describes a relaxed Li2RhW crystal. The functional is GGA-PBEsol.

- distance to the lowest polymorph of the same formula (meV per atom) = 24
- SG = Cmmm
- formation energy from the elements (meV per atom) = 232.4
- final energy (eV per cell) = -24.950

abc: 2.606 2.606 9.277
angles: 90.00 90.00 115.66
Element x y z (fractional)
W1 0.500 0.500 0.000
Li1 0.000 0.000 0.269
Li2 0.000 0.000 0.731
Rh1 0.500 0.500 0.500